# CsLa2F, relaxed, DFT PBE-GGA
data_CsLa2F
_space_group_name_H-M_alt 'F m -3 m'
_space_group_IT_number 225
_space_group_name_Hall '-F 4 2 3'
_cell_length_a 7.762
_cell_length_b 7.762
_cell_length_c 7.762
_cell_angle_alpha 90.00
_cell_angle_beta 90.00
_cell_angle_gamma 90.00
loop_
_atom_site_label
_atom_site_fract_x
_atom_site_fract_y
_atom_site_fract_z
_atom_site_occupancy
Cs1 0.000 0.000 0.000 1
La1 0.250 0.250 0.250 1
F1 0.000 0.000 0.500 1
# * formation energy (no corrections): -0.008 eV/atom